Here is an optimized crystal structure of CsCoPdF6 from Alexandria via LeMat-Bulk. Energies are from GGA+U.

Output
The value obtained for the spin magnetization is 2.8 μB/f.u. The mass density is 4.4 g/cm3.

Unit cell a=7.390 b=8.024 c=7.543 alpha=122.13 beta=119.33 gamma=90.00
Fractional positions:
F  0.823  0.064  0.246
F  0.424  0.682  0.246
F  0.181  0.931  0.362
F  0.574  0.324  0.149
F  0.576  0.318  0.754
F  0.426  0.676  0.851
F  0.576  0.936  0.754
F  0.424  0.064  0.246
F  0.177  0.318  0.754
F  0.177  0.936  0.754
F  0.819  0.069  0.638
F  0.823  0.682  0.246
Pd  0.500  0.000  0.000
Pd  0.500  0.500  0.000
Co  0.500  0.000  0.500
Co  0.000  0.000  0.500
Cs  0.116  0.366  0.232
Cs  0.884  0.634  0.768

---

Here is an optimized crystal structure of CsPmCoF6 from Alexandria via LeMat-Bulk. Energies are from GGA+U.

Output
The value obtained for the spin magnetization is 3.0 μB/f.u. The mass density is 4.8 g/cm3.

Unit cell a=7.936 b=7.592 c=7.584 alpha=120.03 beta=121.55 gamma=90.00
Fractional positions:
F  0.588  0.838  0.175
F  0.445  0.624  0.267
F  0.555  0.376  0.733
F  0.178  0.857  0.733
F  0.412  0.162  0.825
F  0.822  0.143  0.267
F  0.178  0.376  0.733
F  0.861  0.111  0.723
F  0.822  0.624  0.267
F  0.555  0.857  0.733
F  0.445  0.143  0.267
F  0.139  0.889  0.277
Cs  0.843  0.593  0.686
Cs  0.157  0.407  0.314
Co  0.500  0.500  0.000
Co  0.500  0.000  0.000
Pm  0.000  0.000  0.500
Pm  0.500  0.000  0.500

---

Here is an optimized crystal structure of Cs2PrCo3F12 from Alexandria via LeMat-Bulk. Energies are from GGA+U.

Output
The value obtained for the spin magnetization is 10.0 μB/f.u. The mass density is 4.4 g/cm3.

Unit cell a=7.483 b=7.483 c=7.483 alpha=61.56 beta=61.56 gamma=61.56
Fractional positions:
F  0.623  0.105  0.105
F  0.091  0.714  0.714
F  0.105  0.623  0.105
F  0.105  0.105  0.623
F  0.714  0.714  0.091
F  0.909  0.286  0.286
F  0.714  0.091  0.714
F  0.286  0.909  0.286
F  0.377  0.895  0.895
F  0.895  0.895  0.377
F  0.286  0.286  0.909
F  0.895  0.377  0.895
Co  0.500  0.000  0.000
Co  0.000  0.500  0.000
Co  0.000  0.000  0.500
Cs  0.611  0.611  0.611
Cs  0.389  0.389  0.389
Pr  0.000  0.000  0.000

---

Here is an optimized crystal structure of Cs2CoPtF6 from Alexandria via LeMat-Bulk. Energies are from GGA+U.

Output
The value obtained for the spin magnetization is 1.0 μB/f.u. The mass density is 6.3 g/cm3.

Unit cell a=6.209 b=6.209 c=6.184 alpha=59.87 beta=59.87 gamma=90.00
Fractional positions:
F  0.742  0.258  0.000
F  0.734  0.734  0.533
F  0.742  0.742  0.000
F  0.258  0.258  0.000
F  0.258  0.742  0.000
F  0.266  0.266  0.467
Pt  0.000  0.000  0.000
Cs  0.250  0.750  0.500
Cs  0.750  0.250  0.500
Co  0.500  0.500  0.000

---

Uncorrected energy (eV per formula unit)
-40.07, -50.13, -92.50, -42.95